Record 1
{"formula": "Mg2ZrPb", "functional": "GGA-PBE", "state": "relaxed", "total_energy_ev_per_atom": -3.821, "magnetic_moment_mub_per_cell": 0.0, "e_form_mev_per_atom": 40.2, "crystal_system": "trigonal", "lattice_angstrom": [[3.243, 0.000, 0.000], [-1.622, 2.809, 0.000], [0.000, 0.000, 32.280]], "species": ["Mg", "Mg", "Mg", "Mg", "Mg", "Mg", "Zr", "Zr", "Zr", "Pb", "Pb", "Pb"], "frac_coords": [[0.000, 0.000, 0.247], [0.000, 0.000, 0.753], [0.333, 0.667, 0.420], [0.333, 0.667, 0.914], [0.667, 0.333, 0.086], [0.667, 0.333, 0.580], [0.000, 0.000, 0.500], [0.333, 0.667, 0.167], [0.667, 0.333, 0.833], [0.000, 0.000, 0.000], [0.333, 0.667, 0.667], [0.667, 0.333, 0.333]]}



Record 2
{"formula": "CaSm2Dy", "functional": "GGA-PBE", "state": "relaxed", "total_energy_ev_per_atom": -3.871, "magnetic_moment_mub_per_cell": 0.0, "e_form_mev_per_atom": 139.4, "polymorph_energy_mev_per_atom": 93.3, "crystal_system": "cubic", "lattice_angstrom": [[8.210, 0.000, 0.000], [0.000, 8.210, 0.000], [0.000, 0.000, 8.210]], "species": ["Ca", "Ca", "Ca", "Ca", "Sm", "Sm", "Sm", "Sm", "Sm", "Sm", "Sm", "Sm", "Dy", "Dy", "Dy", "Dy"], "frac_coords": [[0.000, 0.000, 0.000], [0.000, 0.500, 0.500], [0.500, 0.000, 0.500], [0.500, 0.500, 0.000], [0.250, 0.250, 0.250], [0.250, 0.250, 0.750], [0.250, 0.750, 0.250], [0.250, 0.750, 0.750], [0.750, 0.250, 0.250], [0.750, 0.250, 0.750], [0.750, 0.750, 0.250], [0.750, 0.750, 0.750], [0.000, 0.000, 0.500], [0.000, 0.500, 0.000], [0.500, 0.000, 0.000], [0.500, 0.500, 0.500]]}



Record 3
{"formula": "K2RePb", "functional": "GGA-PBE", "state": "relaxed", "total_energy_ev_per_atom": -3.444, "magnetic_moment_mub_per_cell": 2.7, "e_form_mev_per_atom": 1144.2, "crystal_system": "tetragonal", "lattice_angstrom": [[4.389, 0.000, 0.000], [0.000, 4.389, 0.000], [0.000, 0.000, 5.844]], "species": ["K", "K", "Re", "Pb"], "frac_coords": [[0.000, 0.500, 0.000], [0.500, 0.000, 0.000], [0.000, 0.000, 0.500], [0.500, 0.500, 0.500]]}



Record 4
{"formula": "Na2GeSe3", "functional": "GGA-PBE", "state": "relaxed", "total_energy_ev_per_atom": -3.717, "magnetic_moment_mub_per_cell": 0.0, "polymorph_energy_mev_per_atom": 0.0, "e_form_raw_ev_per_atom": -0.77, "crystal_system": "monoclinic", "lattice_angstrom": [[7.210, 0.000, 0.000], [0.000, 16.454, 0.000], [-2.470, 0.000, 5.606]], "species": ["Na", "Na", "Na", "Na", "Na", "Na", "Na", "Na", "Ge", "Ge", "Ge", "Ge", "Se", "Se", "Se", "Se", "Se", "Se", "Se", "Se", "Se", "Se", "Se", "Se"], "frac_coords": [[0.062, 0.169, 0.027], [0.062, 0.331, 0.527], [0.287, 0.524, 0.163], [0.287, 0.976, 0.663], [0.713, 0.024, 0.337], [0.713, 0.476, 0.837], [0.938, 0.669, 0.473], [0.938, 0.831, 0.973], [0.463, 0.171, 0.657], [0.463, 0.329, 0.157], [0.537, 0.671, 0.843], [0.537, 0.829, 0.343], [0.117, 0.146, 0.554], [0.117, 0.354, 0.054], [0.309, 0.564, 0.662], [0.309, 0.936, 0.162], [0.453, 0.692, 0.186], [0.453, 0.808, 0.686], [0.547, 0.192, 0.314], [0.547, 0.308, 0.814], [0.691, 0.064, 0.838], [0.691, 0.436, 0.338], [0.883, 0.646, 0.946], [0.883, 0.854, 0.446]]}



Please write out number 3 again, unchanged.
{"formula": "K2RePb", "functional": "GGA-PBE", "state": "relaxed", "total_energy_ev_per_atom": -3.444, "magnetic_moment_mub_per_cell": 2.7, "e_form_mev_per_atom": 1144.2, "crystal_system": "tetragonal", "lattice_angstrom": [[4.389, 0.000, 0.000], [0.000, 4.389, 0.000], [0.000, 0.000, 5.844]], "species": ["K", "K", "Re", "Pb"], "frac_coords": [[0.000, 0.500, 0.000], [0.500, 0.000, 0.000], [0.000, 0.000, 0.500], [0.500, 0.500, 0.500]]}



Which formula does entry 3 have?
K2RePb